Record 1
A relaxed structure of CaLaCl4, computed with PBE.

The structure in extended XYZ format:
```
6
Lattice="0.000 4.269 4.269 4.269 0.000 4.269 4.269 4.269 0.000" Properties=species:S:1:pos:R:3 pbc="T T T"
Ca 0.000 0.000 0.000
La 6.404 6.404 6.404
Cl 5.336 3.203 5.336
Cl 3.203 5.336 5.336
Cl 5.336 5.336 3.203
Cl 3.203 3.203 3.203
```

- ΔE to the lowest computed polymorph: 7.96 eV/f.u.
- DOS(E_F): 3.6 states/eV/f.u.
- Uncorrected formation energy: -77 kJ per mole of atoms
- Uncorrected energy: -3.186 eV/atom
- SG: F-43m

---

Record 2
A relaxed structure of CaLa2Cl, computed with PBE.

The structure in extended XYZ format:
```
4
Lattice="-3.029 1.218 -1.540 -1.826 -2.787 1.390 -2.113 5.711 8.674" Properties=species:S:1:pos:R:3 pbc="T T T"
Ca -1.156 3.124 4.745
Cl -3.885 3.153 5.905
La -0.016 0.043 0.066
La -2.969 0.678 2.146
```

- ΔE to the lowest computed polymorph: 0.15 eV/f.u.
- DOS(E_F): 4.3 states/eV/f.u.
- Uncorrected formation energy: -63 kJ per mole of atoms
- Uncorrected energy: -4.075 eV/atom
- SG: P4mm

---

Record 3
A relaxed structure of CaLa2Cl, computed with PBE.

The structure in extended XYZ format:
```
4
Lattice="-5.683 1.895 -2.399 -6.312 0.848 1.043 -2.735 6.304 1.418" Properties=species:S:1:pos:R:3 pbc="T T T"
Ca -8.198 4.664 -0.079
Cl -2.950 1.365 -0.124
La -11.874 3.447 -1.120
La -11.069 6.837 0.058
```

- ΔE to the lowest computed polymorph: 0.39 eV/f.u.
- DOS(E_F): 5.0 states/eV/f.u.
- Uncorrected formation energy: -57 kJ per mole of atoms
- Uncorrected energy: -4.016 eV/atom
- SG: Cm

---

Record 4
A relaxed structure of CaLaCl4, computed with PBE.

The structure in extended XYZ format:
```
12
Lattice="-4.641 4.638 -0.693 -4.438 -4.723 -1.883 -2.197 -0.796 7.176" Properties=species:S:1:pos:R:3 pbc="T T T"
Ca -3.419 1.921 3.241
Ca -3.318 -2.760 2.646
La 0.000 0.000 0.000
La -4.540 -0.043 -1.288
Cl -7.247 0.852 -0.516
Cl -5.366 1.633 5.187
Cl -3.986 -0.309 1.612
Cl -5.891 -3.872 2.944
Cl -4.030 -1.734 5.115
Cl -5.911 -2.515 -0.587
Cl -7.291 -0.573 2.987
Cl -5.386 2.990 1.656
```

- ΔE to the lowest computed polymorph: 0.00 eV/f.u.
- DOS(E_F): 2.3 states/eV/f.u.
- Uncorrected formation energy: -205 kJ per mole of atoms
- Uncorrected energy: -4.513 eV/atom
- SG: P2_1/c

---

Record 5
A relaxed structure of CaLaCl2, computed with PBE.

The structure in extended XYZ format:
```
4
Lattice="-2.678 -1.853 1.547 1.473 -3.085 -1.146 5.603 -0.642 8.928" Properties=species:S:1:pos:R:3 pbc="T T T"
Ca 3.600 -2.950 6.897
Cl 0.533 -0.061 0.849
Cl 2.269 -0.260 3.615
La 0.798 -2.629 2.433
```

- ΔE to the lowest computed polymorph: 0.74 eV/f.u.
- DOS(E_F): 1.6 states/eV/f.u.
- Uncorrected formation energy: -131 kJ per mole of atoms
- Uncorrected energy: -4.016 eV/atom
- SG: P4/mmm

---

Record 6
A relaxed structure of CaLa2Cl, computed with PBE.

The structure in extended XYZ format:
```
4
Lattice="11.068 -0.025 -0.015 10.422 3.725 -0.015 10.422 1.794 3.264" Properties=species:S:1:pos:R:3 pbc="T T T"
Ca 7.978 1.374 0.809
Cl 23.934 4.121 2.426
La 0.516 0.089 0.052
La 15.439 2.658 1.565
```

- ΔE to the lowest computed polymorph: 0.13 eV/f.u.
- DOS(E_F): 6.6 states/eV/f.u.
- Uncorrected formation energy: -63 kJ per mole of atoms
- Uncorrected energy: -4.082 eV/atom
- SG: R-3m

---

Record 7
A relaxed structure of CaLa2Cl, computed with PBE.

The structure in extended XYZ format:
```
4
Lattice="-1.977 1.736 2.521 1.625 -1.954 2.620 7.939 5.991 2.100" Properties=species:S:1:pos:R:3 pbc="T T T"
Ca 5.227 2.235 2.560
Cl 6.251 3.298 5.264
La 9.146 4.289 4.218
La 1.310 2.007 2.278
```

- ΔE to the lowest computed polymorph: 0.00 eV/f.u.
- DOS(E_F): 4.2 states/eV/f.u.
- Uncorrected formation energy: -66 kJ per mole of atoms
- Uncorrected energy: -4.113 eV/atom
- SG: Pm

---

Record 8
A relaxed structure of CaLaCl2, computed with PBE.

The structure in extended XYZ format:
```
4
Lattice="5.450 0.000 0.000 0.000 3.726 0.005 0.000 0.884 5.720" Properties=species:S:1:pos:R:3 pbc="T T T"
Ca 2.725 4.037 4.936
Cl 0.000 4.467 5.583
Cl 2.725 1.387 1.311
La 0.000 1.633 2.482
```

- ΔE to the lowest computed polymorph: 0.58 eV/f.u.
- DOS(E_F): 2.4 states/eV/f.u.
- Uncorrected formation energy: -135 kJ per mole of atoms
- Uncorrected energy: -4.057 eV/atom
- SG: Pm

---

Record 9
A relaxed structure of CaLa2Cl, computed with PBE.

The structure in extended XYZ format:
```
4
Lattice="6.081 -0.151 0.000 -2.091 5.712 0.000 0.000 0.000 3.763" Properties=species:S:1:pos:R:3 pbc="T T T"
Ca 3.040 -0.075 1.882
Cl -1.046 2.856 1.882
La 0.000 0.000 0.000
La 1.995 2.781 0.000
```

- ΔE to the lowest computed polymorph: 1.45 eV/f.u.
- DOS(E_F): 5.0 states/eV/f.u.
- Uncorrected formation energy: -31 kJ per mole of atoms
- Uncorrected energy: -3.750 eV/atom
- SG: Cmmm

---

Record 10
A relaxed structure of CaLaCl2, computed with PBE.

The structure in extended XYZ format:
```
4
Lattice="3.999 -0.002 0.000 -2.373 3.218 0.000 0.000 0.000 9.211" Properties=species:S:1:pos:R:3 pbc="T T T"
Ca 0.813 1.608 6.908
Cl 0.000 0.000 9.128
Cl 0.000 0.000 4.688
La 0.813 1.608 2.303
```

- ΔE to the lowest computed polymorph: 0.48 eV/f.u.
- DOS(E_F): 2.8 states/eV/f.u.
- Uncorrected formation energy: -137 kJ per mole of atoms
- Uncorrected energy: -4.081 eV/atom
- SG: Cmmm

---

Record 11
A relaxed structure of CaLa2Cl, computed with PBE.

The structure in extended XYZ format:
```
4
Lattice="6.818 0.034 0.000 3.465 5.872 0.000 -5.141 -2.953 3.366" Properties=species:S:1:pos:R:3 pbc="T T T"
Ca 5.141 2.953 0.000
Cl 3.409 0.017 1.683
La 0.000 0.000 0.000
La 1.732 2.936 1.683
```

- ΔE to the lowest computed polymorph: 2.08 eV/f.u.
- DOS(E_F): 7.3 states/eV/f.u.
- Uncorrected formation energy: -16 kJ per mole of atoms
- Uncorrected energy: -3.594 eV/atom
- SG: I-4m2

---

Record 12
A relaxed structure of CaLa2Cl, computed with PBE.

The structure in extended XYZ format:
```
4
Lattice="3.591 0.000 0.000 0.000 3.591 0.000 0.000 0.000 10.115" Properties=species:S:1:pos:R:3 pbc="T T T"
Ca 1.796 1.796 2.529
Cl 1.796 1.796 7.586
La 0.000 0.000 9.537
La 0.000 0.000 5.635
```

- ΔE to the lowest computed polymorph: 0.60 eV/f.u.
- DOS(E_F): 5.6 states/eV/f.u.
- Uncorrected formation energy: -52 kJ per mole of atoms
- Uncorrected energy: -3.962 eV/atom
- SG: P4/mmm

---

Record 13
A relaxed structure of CaLa2Cl, computed with PBE.

The structure in extended XYZ format:
```
4
Lattice="-1.436 2.142 -6.361 -6.529 -0.911 -1.911 4.598 3.043 4.088" Properties=species:S:1:pos:R:3 pbc="T T T"
Ca -4.355 0.673 -4.523
Cl -0.395 2.898 -3.189
La -7.678 1.187 -7.974
La -2.886 1.363 -0.906
```

- ΔE to the lowest computed polymorph: 0.64 eV/f.u.
- DOS(E_F): 3.8 states/eV/f.u.
- Uncorrected formation energy: -51 kJ per mole of atoms
- Uncorrected energy: -3.954 eV/atom
- SG: Imm2

---

Record 14
A relaxed structure of CaLa2Cl, computed with PBE.

The structure in extended XYZ format:
```
4
Lattice="-4.211 -3.612 -5.140 1.818 -5.521 -4.838 0.402 2.403 7.160" Properties=species:S:1:pos:R:3 pbc="T T T"
Ca 0.512 -3.842 -1.334
Cl -2.503 -2.888 -1.485
La 0.000 0.000 0.000
La -1.196 -4.566 -4.989
```

- ΔE to the lowest computed polymorph: 1.62 eV/f.u.
- DOS(E_F): 4.9 states/eV/f.u.
- Uncorrected formation energy: -27 kJ per mole of atoms
- Uncorrected energy: -3.708 eV/atom
- SG: I4/mmm

---

Record 15
A relaxed structure of CaLa2Cl, computed with PBE.

The structure in extended XYZ format:
```
4
Lattice="3.682 0.004 0.000 -1.664 3.284 0.000 0.000 0.000 11.239" Properties=species:S:1:pos:R:3 pbc="T T T"
Ca 1.009 1.644 2.810
Cl 1.009 1.644 8.429
La 0.000 0.000 10.804
La 0.000 0.000 6.055
```

- ΔE to the lowest computed polymorph: 0.35 eV/f.u.
- DOS(E_F): 6.1 states/eV/f.u.
- Uncorrected formation energy: -58 kJ per mole of atoms
- Uncorrected energy: -4.027 eV/atom
- SG: Cmmm

---

Record 16
A relaxed structure of CaLaNCl, computed with PBE.

The structure in extended XYZ format:
```
4
Lattice="-1.037 2.928 2.012 -2.102 -3.046 -0.056 4.942 -3.488 4.221" Properties=species:S:1:pos:R:3 pbc="T T T"
Ca -1.795 -2.807 0.399
La 2.509 -1.344 3.892
N 2.867 -3.847 4.316
Cl -0.064 0.441 3.372
```

- DOS(E_F): 1.0 states/eV/f.u.
- Uncorrected formation energy: -147 kJ per mole of atoms
- Uncorrected energy: -5.795 eV/atom
- SG: R3m

---

Record 17
A relaxed structure of Ca2LaN2Cl2, computed with PBE.

The structure in extended XYZ format:
```
7
Lattice="-0.433 3.202 -3.258 -1.866 -3.111 -2.810 -5.420 1.625 5.547" Properties=species:S:1:pos:R:3 pbc="T T T"
Ca -5.153 1.310 1.971
Ca -2.565 0.405 -2.492
La 0.000 0.000 0.000
N -0.933 -1.556 -1.405
N -0.216 1.601 -1.629
Cl -2.627 0.668 1.005
Cl -5.091 1.047 -1.526
```

- DOS(E_F): 2.1 states/eV/f.u.
- Uncorrected formation energy: -131 kJ per mole of atoms
- Uncorrected energy: -5.541 eV/atom
- SG: I4/mmm

---

Record 18
A relaxed structure of NaCaLaCl6, computed with PBE.

The structure in extended XYZ format:
```
18
Lattice="7.184 0.000 0.000 -3.592 6.221 0.000 0.000 0.000 12.363" Properties=species:S:1:pos:R:3 pbc="T T T"
Na 0.000 0.000 0.000
Na 0.000 0.000 6.181
Ca 0.000 4.148 3.091
Ca 3.592 2.074 9.272
La 3.592 2.074 3.091
La 0.000 4.148 9.272
Cl 2.319 4.076 1.598
Cl -1.222 2.175 1.598
Cl 2.495 0.029 7.780
Cl 4.814 4.046 10.765
Cl 1.222 2.175 4.583
Cl -2.319 4.076 4.583
Cl 4.689 0.029 10.765
Cl 1.097 6.192 4.583
Cl 5.911 2.146 7.780
Cl -1.097 6.192 1.598
Cl 2.370 4.046 7.780
Cl 1.273 2.146 10.765
```

- DOS(E_F): 0.0 states/eV/f.u.
- Uncorrected formation energy: -217 kJ per mole of atoms
- Uncorrected energy: -4.394 eV/atom
- SG: P-31c

---

Record 19
A relaxed structure of NaCaLa2Cl, computed with PBE.

The structure in extended XYZ format:
```
5
Lattice="5.926 0.000 0.000 0.000 6.145 0.000 0.000 0.000 5.926" Properties=species:S:1:pos:R:3 pbc="T T T"
Na 0.000 0.000 0.000
Ca 0.000 3.073 0.000
Cl 2.963 3.073 2.963
La 0.000 0.000 2.963
La 2.963 0.000 0.000
```

- DOS(E_F): 8.7 states/eV/f.u.
- Uncorrected formation energy: 44 kJ per mole of atoms
- Uncorrected energy: -2.545 eV/atom
- SG: P4/mmm

---

Record 20
A relaxed structure of Ca2LaNbCl, computed with PBE.

The structure in extended XYZ format:
```
5
Lattice="6.312 0.000 0.000 0.000 4.934 0.000 0.000 0.000 6.312" Properties=species:S:1:pos:R:3 pbc="T T T"
Nb 0.000 2.467 0.000
Cl 3.156 2.467 3.156
Ca 0.000 0.000 3.156
Ca 3.156 0.000 0.000
La 0.000 0.000 0.000
```

- DOS(E_F): 6.7 states/eV/f.u.
- Uncorrected formation energy: 82 kJ per mole of atoms
- Uncorrected energy: -3.317 eV/atom
- SG: P4/mmm